Record 1
{"formula": "BaZn2Pt", "functional": "PBE-GGA", "state": "optimized geometry", "vol_a3_per_cell": 104, "magnetic_moment_mub_per_cell": 0.00, "dos_ef_per_ev_atom": 0.350, "delta_e_f_kj_per_mol_atoms": 3.21, "total_energy_ev_per_atom": -2.5946, "cell": [[6.190, -0.006, -0.022], [-3.258, 5.264, -0.022], [1.458, 2.614, 3.159]], "species": ["Ba", "Pt", "Zn", "Zn"], "frac_coords": [[0.500, 0.000, 0.500], [0.000, 0.500, 0.500], [0.000, 0.000, 0.000], [0.500, 0.500, 0.000]]}

=====

Record 2
{"formula": "Ba2Zn5Pt3", "functional": "PBE-GGA", "state": "optimized geometry", "vol_a3_per_cell": 436, "magnetic_moment_mub_per_cell": 0.00, "dos_ef_per_ev_atom": 0.427, "delta_e_f_kj_per_mol_atoms": -51.64, "total_energy_ev_per_atom": -3.3689, "cell": [[-3.380, -5.472, -0.470], [0.559, -4.824, 7.485], [-8.726, 1.456, 1.157]], "species": ["Ba", "Ba", "Ba", "Ba", "Zn", "Zn", "Zn", "Zn", "Zn", "Zn", "Zn", "Zn", "Zn", "Zn", "Pt", "Pt", "Pt", "Pt", "Pt", "Pt"], "frac_coords": [[0.239, 0.884, 0.636], [0.261, 0.364, 0.116], [0.761, 0.116, 0.364], [0.739, 0.636, 0.884], [0.388, 0.995, 0.243], [0.112, 0.757, 0.005], [0.612, 0.005, 0.757], [0.888, 0.243, 0.995], [0.250, 0.265, 0.735], [0.750, 0.735, 0.265], [0.250, 0.500, 0.500], [0.750, 0.500, 0.500], [0.250, 0.740, 0.260], [0.750, 0.260, 0.740], [0.131, 0.246, 0.490], [0.369, 0.510, 0.754], [0.869, 0.754, 0.510], [0.631, 0.490, 0.246], [0.250, 0.994, 0.006], [0.750, 0.006, 0.994]]}

=====

Record 3
{"formula": "Ba2Zn2Pt", "functional": "PBE-GGA", "state": "optimized geometry", "vol_a3_per_cell": 272, "magnetic_moment_mub_per_cell": 0.00, "polymorph_energy_mev_per_atom": 240, "dos_ef_per_ev_atom": 0.931, "delta_e_f_kj_per_mol_atoms": -22.36, "total_energy_ev_per_atom": -2.7186, "cell": [[7.294, 0.000, 0.000], [0.000, 7.294, 0.000], [0.000, 0.000, 5.115]], "species": ["Zn", "Zn", "Zn", "Zn", "Ba", "Ba", "Ba", "Ba", "Pt", "Pt"], "frac_coords": [[0.372, 0.872, 0.000], [0.872, 0.628, 0.000], [0.628, 0.128, 0.000], [0.128, 0.372, 0.000], [0.188, 0.688, 0.500], [0.688, 0.812, 0.500], [0.812, 0.312, 0.500], [0.312, 0.188, 0.500], [0.000, 0.000, 0.000], [0.500, 0.500, 0.000]]}

=====

Record 4
{"formula": "BaZn3Pt2", "functional": "PBE-GGA", "state": "optimized geometry", "vol_a3_per_cell": 245, "magnetic_moment_mub_per_cell": 0.00, "dos_ef_per_ev_atom": 0.399, "delta_e_f_kj_per_mol_atoms": -57.64, "total_energy_ev_per_atom": -3.5685, "cell": [[5.666, 0.000, 0.000], [0.000, 6.400, -1.899], [0.000, 0.319, 6.668]], "species": ["Ba", "Ba", "Zn", "Zn", "Zn", "Zn", "Zn", "Zn", "Pt", "Pt", "Pt", "Pt"], "frac_coords": [[0.250, 0.334, 0.334], [0.750, 0.666, 0.666], [0.750, 0.467, 0.079], [0.750, 0.079, 0.467], [0.250, 0.533, 0.921], [0.750, 0.072, 0.072], [0.250, 0.928, 0.928], [0.250, 0.921, 0.533], [0.500, 0.797, 0.203], [0.000, 0.797, 0.203], [0.000, 0.203, 0.797], [0.500, 0.203, 0.797]]}

=====

Record 5
{"formula": "Ba2Zn9Pt6", "functional": "PBE-GGA", "state": "optimized geometry", "vol_a3_per_cell": 359, "magnetic_moment_mub_per_cell": 0.00, "dos_ef_per_ev_atom": 0.266, "delta_e_f_kj_per_mol_atoms": -44.54, "total_energy_ev_per_atom": -3.4943, "cell": [[6.038, 0.000, 0.000], [-3.019, 5.229, 0.000], [0.000, 0.000, 11.358]], "species": ["Ba", "Ba", "Zn", "Zn", "Zn", "Zn", "Zn", "Zn", "Zn", "Zn", "Zn", "Pt", "Pt", "Pt", "Pt", "Pt", "Pt"], "frac_coords": [[0.000, 0.000, 0.691], [0.000, 0.000, 0.309], [0.500, 0.000, 0.839], [0.000, 0.500, 0.839], [0.500, 0.500, 0.839], [0.500, 0.000, 0.161], [0.000, 0.500, 0.161], [0.500, 0.500, 0.161], [0.500, 0.000, 0.500], [0.000, 0.500, 0.500], [0.500, 0.500, 0.500], [0.333, 0.667, 0.000], [0.667, 0.333, 0.000], [0.333, 0.667, 0.670], [0.667, 0.333, 0.670], [0.667, 0.333, 0.330], [0.333, 0.667, 0.330]]}

=====

Record 6
{"formula": "BaZn3Pt3", "functional": "PBE-GGA", "state": "optimized geometry", "vol_a3_per_cell": 336, "magnetic_moment_mub_per_cell": 0.00, "dos_ef_per_ev_atom": 0.503, "delta_e_f_kj_per_mol_atoms": -30.92, "total_energy_ev_per_atom": -3.7300, "cell": [[6.955, 0.000, 0.000], [0.000, 6.955, 0.000], [0.000, 0.000, 6.955]], "species": ["Zn", "Zn", "Zn", "Zn", "Zn", "Zn", "Ba", "Ba", "Pt", "Pt", "Pt", "Pt", "Pt", "Pt"], "frac_coords": [[0.000, 0.250, 0.500], [0.000, 0.750, 0.500], [0.500, 0.000, 0.750], [0.750, 0.500, 0.000], [0.500, 0.000, 0.250], [0.250, 0.500, 0.000], [0.500, 0.500, 0.500], [0.000, 0.000, 0.000], [0.250, 0.000, 0.500], [0.000, 0.500, 0.250], [0.500, 0.750, 0.000], [0.750, 0.000, 0.500], [0.000, 0.500, 0.750], [0.500, 0.250, 0.000]]}

=====

Record 7
{"formula": "Ba3Zn3Pt", "functional": "PBE-GGA", "state": "optimized geometry", "vol_a3_per_cell": 439, "magnetic_moment_mub_per_cell": 0.00, "dos_ef_per_ev_atom": 0.655, "delta_e_f_kj_per_mol_atoms": -36.03, "total_energy_ev_per_atom": -2.6064, "cell": [[4.471, 0.000, 0.674], [2.189, 6.091, 0.647], [-0.142, 0.245, 16.119]], "species": ["Ba", "Ba", "Ba", "Ba", "Ba", "Ba", "Zn", "Zn", "Zn", "Zn", "Zn", "Zn", "Pt", "Pt"], "frac_coords": [[0.521, 0.351, 0.607], [0.479, 0.649, 0.393], [0.250, 0.256, 0.244], [0.750, 0.744, 0.756], [0.396, 0.289, 0.920], [0.604, 0.711, 0.080], [0.811, 0.841, 0.538], [0.189, 0.159, 0.462], [0.099, 0.884, 0.917], [0.901, 0.116, 0.083], [0.950, 0.859, 0.241], [0.050, 0.141, 0.759], [0.776, 0.062, 0.385], [0.224, 0.938, 0.615]]}

=====

Record 8
{"formula": "BaZn6Pt2", "functional": "PBE-GGA", "state": "optimized geometry", "vol_a3_per_cell": 175, "magnetic_moment_mub_per_cell": 0.00, "dos_ef_per_ev_atom": 0.451, "delta_e_f_kj_per_mol_atoms": -25.90, "total_energy_ev_per_atom": -2.6738, "cell": [[-1.162, 4.002, -0.658], [-5.917, 1.130, 3.800], [0.475, 3.388, 6.247]], "species": ["Ba", "Zn", "Zn", "Zn", "Zn", "Zn", "Zn", "Pt", "Pt"], "frac_coords": [[0.000, 0.000, 0.000], [0.711, 0.094, 0.484], [0.289, 0.906, 0.516], [0.289, 0.516, 0.906], [0.500, 0.665, 0.335], [0.500, 0.335, 0.665], [0.711, 0.484, 0.094], [0.862, 0.638, 0.638], [0.138, 0.362, 0.362]]}

=====

Copy entry 7 word for word.
{"formula": "Ba3Zn3Pt", "functional": "PBE-GGA", "state": "optimized geometry", "vol_a3_per_cell": 439, "magnetic_moment_mub_per_cell": 0.00, "dos_ef_per_ev_atom": 0.655, "delta_e_f_kj_per_mol_atoms": -36.03, "total_energy_ev_per_atom": -2.6064, "cell": [[4.471, 0.000, 0.674], [2.189, 6.091, 0.647], [-0.142, 0.245, 16.119]], "species": ["Ba", "Ba", "Ba", "Ba", "Ba", "Ba", "Zn", "Zn", "Zn", "Zn", "Zn", "Zn", "Pt", "Pt"], "frac_coords": [[0.521, 0.351, 0.607], [0.479, 0.649, 0.393], [0.250, 0.256, 0.244], [0.750, 0.744, 0.756], [0.396, 0.289, 0.920], [0.604, 0.711, 0.080], [0.811, 0.841, 0.538], [0.189, 0.159, 0.462], [0.099, 0.884, 0.917], [0.901, 0.116, 0.083], [0.950, 0.859, 0.241], [0.050, 0.141, 0.759], [0.776, 0.062, 0.385], [0.224, 0.938, 0.615]]}